Material: HfPSe2
Method: DFT, PBE
State: relaxed

a = 8.719 Å, b = 8.719 Å, c = 8.719 Å
α = 23.66°, β = 23.66°, γ = 23.66°
Atoms (fractional coordinates):
P 0.000 0.000 0.000
Hf 0.500 0.500 0.500
Se 0.900 0.900 0.900
Se 0.100 0.100 0.100

Output
* energy: -5.996 eV per atom
* formation energy without anion corrections: -0.413 eV per atom
* V: 23.44 Å³/atom
* DOS at the Fermi energy: 2.07 states/eV/cell